[1]
Computed, not measured: a geometry-optimized Sr2CaPtN structure at the GGA-PBE level of DFT.

abc: 5.1574 5.1574 4.7249
angles: 90.00 90.00 90.00
Closest atoms and distances in Å follow each position.
Space group P4/mmm (No. 123)
One atom of each set of equivalent atoms:
Sr 0.0000 0.5000 0.0000 (multiplicity 2)  2 N 2.58
Ca 0.0000 0.0000 0.5000 (multiplicity 1)  2 N 2.36
Pt 0.5000 0.5000 0.5000 (multiplicity 1)  8 Sr 3.50, 4 Ca 3.65
N 0.0000 0.0000 0.0000 (multiplicity 1)  2 Ca 2.36, 4 Sr 2.58

## Properties
**ρ**: 5.61 g/cm3
**Formation energy from raw total energies**: -613 meV per atom



[2]
Computed, not measured: a geometry-optimized Mg3AsN structure at the GGA-PBE level of DFT.

abc: 4.2269 6.3672 6.7148
angles: 90.00 108.14 90.00
Closest atoms and distances in Å follow each position.
Space group P2_1/m (No. 11)
One atom of each set of equivalent atoms:
Mg 0.0152 0.2500 0.0312 (multiplicity 2)  2 N 2.12
Mg 0.3784 0.0182 0.7537 (multiplicity 4)  1 N 2.10
As 0.1894 0.7500 0.3831 (multiplicity 2)  7 Mg 2.64-2.92
N 0.4728 0.7500 0.9444 (multiplicity 2)  4 Mg 2.10-2.12

## Properties
**ρ**: 3.13 g/cm3
**Formation energy from raw total energies**: -489 meV per atom



[3]
Computed, not measured: a geometry-optimized Ac4OsBrCl2 structure at the GGA-PBE level of DFT.

abc: 7.8571 4.3363 8.4513
angles: 90.00 108.43 90.00
Closest atoms and distances in Å follow each position.
Space group P2/m (No. 10)
One atom of each set of equivalent atoms:
Ac 0.2118 0.0000 0.2044 (multiplicity 2)  2 Os 2.94, 1 Cl 3.25
Ac 0.2408 0.5000 0.7929 (multiplicity 2)  1 Os 2.96, 2 Cl 3.11
Os 0.0000 0.5000 0.0000 (multiplicity 1)  6 Ac 2.94-2.96
Br 0.0000 0.0000 0.5000 (multiplicity 1)  6 Ac 3.38-3.41
Cl 0.5000 0.0000 0.0000 (multiplicity 1)  6 Ac 3.11-3.25
Cl 0.5000 0.5000 0.5000 (multiplicity 1)  6 Ac 3.53-3.67

## Properties
**ρ**: 7.59 g/cm3
**Formation energy from raw total energies**: -1063 meV per atom



[4]
Computed, not measured: a geometry-optimized PSeIO structure at the GGA-PBE level of DFT.

abc: 9.8054 3.9381 6.2675
angles: 90.00 93.32 90.00
Closest atoms and distances in Å follow each position.
Space group Cm (No. 8)
One atom of each set of equivalent atoms:
P 0.0000 0.0000 0.0000 (multiplicity 2)  1 O 1.50
Se 0.4059 0.0000 0.7516 (multiplicity 2)  1 I 2.52, 2 P 2.64
I 0.0891 0.5000 0.4847 (multiplicity 2)  1 Se 2.52
O 0.1510 0.0000 0.9747 (multiplicity 2)  1 P 1.50

## Properties
**Excess energy over the best structure of this formula in the dataset**: 117.3 meV per atom
**ρ**: 3.48 g/cm3
**Formation energy from raw total energies**: -431 meV per atom